[1]
A plane-wave DFT calculation with GGA-PBE was carried out for crystalline UPaRu2 at its relaxed geometry.

mass density = 14.318 g/cm3
E_form = -0.230 eV/atom

Cell: 3.330 3.330 7.018 Å, 90.00 90.00 90.00°
Positions (direct):
U (0.000, 0.000, 0.000)
Pa (0.000, 0.000, 0.500)
Ru (0.500, 0.500, 0.230)
Ru (0.500, 0.500, 0.770)

=====

[2]
A plane-wave DFT calculation with GGA-PBE was carried out for crystalline MnBeS2 at its relaxed geometry.

mass density = 2.572 g/cm3
DFT total energy = -0.2104 Ha/atom

Cell: 3.873 3.873 19.096 Å, 90.00 90.00 120.00°
Positions (direct):
Mn (0.000, 0.000, 0.000)
Mn (0.333, 0.667, 0.667)
Mn (0.667, 0.333, 0.333)
Be (0.000, 0.000, 0.500)
Be (0.333, 0.667, 0.167)
Be (0.667, 0.333, 0.833)
S (0.000, 0.000, 0.401)
S (0.000, 0.000, 0.599)
S (0.333, 0.667, 0.068)
S (0.333, 0.667, 0.265)
S (0.667, 0.333, 0.735)
S (0.667, 0.333, 0.932)

=====

[3]
A plane-wave DFT calculation with GGA-PBE was carried out for crystalline RbSiTe3Au at its relaxed geometry.

mass density = 5.064 g/cm3
DFT total energy = -0.1283 Ha/atom

Cell: 7.580 7.580 8.860 Å, 103.89 103.89 69.02°
Positions (direct):
Rb (0.196, 0.196, 0.275)
Rb (0.804, 0.804, 0.725)
Si (0.483, 0.483, 0.862)
Si (0.517, 0.517, 0.138)
Te (0.173, 0.678, 0.193)
Te (0.278, 0.278, 0.732)
Te (0.322, 0.827, 0.807)
Te (0.678, 0.173, 0.193)
Te (0.722, 0.722, 0.268)
Te (0.827, 0.322, 0.807)
Au (0.254, 0.746, 0.500)
Au (0.746, 0.254, 0.500)

=====

[4]
A plane-wave DFT calculation with GGA-PBE was carried out for crystalline KAs2Pt4Pb at its relaxed geometry.

mass density = 10.837 g/cm3
E_form = -0.363 eV/atom

Cell: 4.063 4.063 10.918 Å, 90.00 90.00 90.00°
Positions (direct):
K (0.000, 0.000, 0.000)
As (0.500, 0.500, 0.178)
As (0.500, 0.500, 0.822)
Pt (0.000, 0.500, 0.305)
Pt (0.000, 0.500, 0.695)
Pt (0.500, 0.000, 0.305)
Pt (0.500, 0.000, 0.695)
Pb (0.000, 0.000, 0.500)

=====

Repeat the fourth record exactly.
A plane-wave DFT calculation with GGA-PBE was carried out for crystalline KAs2Pt4Pb at its relaxed geometry.

mass density = 10.837 g/cm3
E_form = -0.363 eV/atom

Cell: 4.063 4.063 10.918 Å, 90.00 90.00 90.00°
Positions (direct):
K (0.000, 0.000, 0.000)
As (0.500, 0.500, 0.178)
As (0.500, 0.500, 0.822)
Pt (0.000, 0.500, 0.305)
Pt (0.000, 0.500, 0.695)
Pt (0.500, 0.000, 0.305)
Pt (0.500, 0.000, 0.695)
Pb (0.000, 0.000, 0.500)

=====

- Among the records above, which one has the highest mass density?
  UPaRu2

=====

- Which of these has the highest mass density?
  UPaRu2